Compound: SiPt2W
Source: Alexandria via LeMat-Bulk
Functional: PBE
Structure: relaxed

Computed properties:
Total moment   0.0 μB per formula unit
N(E_F)   0.745 states/eV/atom
Energy relative to the elements, uncorrected   -0.093 eV per atom
Space-group type   I4/mmm, No. 139

CIF file:
```
data_SiPt2W
_symmetry_space_group_name_H-M 'P 1'
_symmetry_Int_Tables_number 1
_symmetry_space_group_name_Hall 'P 1'
_cell_length_a 4.937
_cell_length_b 4.937
_cell_length_c 4.937
_cell_angle_alpha 134.54
_cell_angle_beta 134.54
_cell_angle_gamma 66.25
loop_
_atom_site_label
_atom_site_type_symbol
_atom_site_fract_x
_atom_site_fract_y
_atom_site_fract_z
_atom_site_occupancy
W1 W 0.750 0.250 0.500 1
Pt1 Pt 0.500 0.500 0.000 1
Si1 Si 0.250 0.750 0.500 1
Pt2 Pt 0.000 0.000 0.000 1
```

***

Compound: Pm2SnPb
Source: Alexandria via LeMat-Bulk
Functional: PBE
Structure: relaxed

Computed properties:
Total moment   0.0 μB per formula unit
N(E_F)   0.754 states/eV/atom
E above lowest polymorph   0 meV/atom
Space-group type   P2_1/m, No. 11

CIF file:
```
data_Pm2SnPb
_symmetry_space_group_name_H-M 'P 1'
_symmetry_Int_Tables_number 1
_symmetry_space_group_name_Hall 'P 1'
_cell_length_a 4.448
_cell_length_b 6.341
_cell_length_c 9.274
_cell_angle_alpha 111.49
_cell_angle_beta 90.00
_cell_angle_gamma 90.00
loop_
_atom_site_label
_atom_site_type_symbol
_atom_site_fract_x
_atom_site_fract_y
_atom_site_fract_z
_atom_site_occupancy
Pm1 Pm 0.750 0.229 0.436 1
Sn1 Sn 0.750 0.684 0.296 1
Pb1 Pb 0.750 0.692 0.797 1
Pb2 Pb 0.250 0.308 0.203 1
Pm2 Pm 0.250 0.771 0.564 1
Sn2 Sn 0.250 0.316 0.704 1
Pm3 Pm 0.750 0.237 0.931 1
Pm4 Pm 0.250 0.763 0.069 1
```

***

Compound: ScTe2N2
Source: Alexandria via LeMat-Bulk
Functional: PBE
Structure: relaxed

Computed properties:
Total moment   0.0 μB per formula unit
N(E_F)   0.588 states/eV/atom
E above lowest polymorph   233 meV/atom
Energy relative to the elements, uncorrected   0.920 eV per atom
Space-group type   P4/mmm, No. 123

CIF file:
```
data_ScTe2N2
_symmetry_space_group_name_H-M 'P 1'
_symmetry_Int_Tables_number 1
_symmetry_space_group_name_Hall 'P 1'
_cell_length_a 4.117
_cell_length_b 4.117
_cell_length_c 5.970
_cell_angle_alpha 90.00
_cell_angle_beta 90.00
_cell_angle_gamma 90.00
loop_
_atom_site_label
_atom_site_type_symbol
_atom_site_fract_x
_atom_site_fract_y
_atom_site_fract_z
_atom_site_occupancy
N1 N 0.500 0.000 0.000 1
Sc1 Sc 0.500 0.500 0.500 1
Te1 Te 0.000 0.000 0.000 1
Te2 Te 0.000 0.000 0.500 1
N2 N 0.000 0.500 0.000 1
```

***

Compound: Ti4CuRe2
Source: Alexandria via LeMat-Bulk
Functional: PBE
Structure: relaxed

Computed properties:
Total moment   0.0 μB per formula unit
N(E_F)   1.076 states/eV/atom
Energy   -61.02 eV for the cell shown
Space-group type   I4/mmm, No. 139

CIF file:
```
data_Ti4CuRe2
_symmetry_space_group_name_H-M 'P 1'
_symmetry_Int_Tables_number 1
_symmetry_space_group_name_Hall 'P 1'
_cell_length_a 5.320
_cell_length_b 5.320
_cell_length_c 5.320
_cell_angle_alpha 107.97
_cell_angle_beta 110.23
_cell_angle_gamma 110.23
loop_
_atom_site_label
_atom_site_type_symbol
_atom_site_fract_x
_atom_site_fract_y
_atom_site_fract_z
_atom_site_occupancy
Ti1 Ti 0.500 0.000 0.000 1
Ti2 Ti 0.000 0.000 0.500 1
Ti3 Ti 0.000 0.500 0.000 1
Re1 Re 0.500 0.000 0.500 1
Cu1 Cu 0.000 0.000 0.000 1
Re2 Re 0.500 0.500 0.000 1
Ti4 Ti 0.500 0.500 0.500 1
```